(1)
The following is a DFT calculation (PBE) of a relaxed structure of DyBeIr.

Unit cell a=3.9211 b=3.9211 c=3.9874 alpha=90.00 beta=90.00 gamma=120.00
Last column: nearest neighbours and their distance in Å.
Element x y z (fractional)
Dy1 0.0000 0.0000 0.0000  6 Be 3.02, 6 Ir 3.02
Be1 0.3333 0.6667 0.5000  3 Ir 2.26
Ir1 0.6667 0.3333 0.5000  3 Be 2.26

Summary:
Energy above the most stable polymorph in this dataset, eV per atom: 0.000
ρ, kg/m³: 11376
Energy relative to the elements, eV per formula unit: -2.01
SG: P-6m2
Volume, Å³ per atom: 17.698



(2)
The following is a DFT calculation (PBE) of a relaxed structure of PmAg4.

Unit cell a=7.2156 b=7.2140 c=4.0913 alpha=73.55 beta=73.51 gamma=32.94
Last column: nearest neighbours and their distance in Å.
Element x y z (fractional)
Pm1 0.0000 0.0000 0.0000  8 Ag 3.20
Ag1 0.2500 0.2500 0.2500  8 Ag 2.82-2.90
Ag2 0.3970 0.3970 0.6030  5 Ag 2.72-2.82
Ag3 0.6030 0.6030 0.3970  5 Ag 2.72-2.82
Ag4 0.7500 0.7500 0.7500  8 Ag 2.82-2.90

Summary:
Energy above the most stable polymorph in this dataset, eV per atom: 0.062
ρ, kg/m³: 8652
Energy relative to the elements, eV per formula unit: -0.49
SG: Fmmm
Volume, Å³ per atom: 22.127



(3)
The following is a DFT calculation (PBE) of a relaxed structure of YHo6Er2Th.

Unit cell a=8.7664 b=8.7664 c=9.2732 alpha=92.58 beta=92.58 gamma=116.62
Last column: nearest neighbours and their distance in Å.
Element x y z (fractional)
Y1 0.0884 0.9116 0.7500  6 Ho 3.42-3.45, 4 Er 3.48-3.81
Y2 0.9116 0.0884 0.2500  6 Ho 3.42-3.45, 4 Er 3.48-3.81
Ho1 0.0194 0.7882 0.3883  4 Ho 3.19-3.50, 3 Er 3.30-3.42, 2 Y 3.42-3.45
Ho2 0.0665 0.5131 0.1835  3 Ho 3.19-3.55, 1 Er 3.38, 1 Th 3.43, 1 Y 3.44
Ho3 0.2118 0.9806 0.1117  4 Ho 3.19-3.50, 3 Er 3.30-3.42, 2 Y 3.42-3.45
Ho4 0.2667 0.6186 0.5596  7 Ho 3.39-3.72, 1 Er 3.41, 2 Th 3.63
Ho5 0.3814 0.7333 0.9404  7 Ho 3.39-3.72, 1 Er 3.41, 2 Th 3.63
Ho6 0.4869 0.9335 0.3165  3 Ho 3.19-3.55, 1 Er 3.38, 1 Th 3.43, 1 Y 3.44
Ho7 0.5131 0.0665 0.6835  3 Ho 3.19-3.55, 1 Er 3.38, 1 Th 3.43, 1 Y 3.44
Ho8 0.6186 0.2667 0.0596  7 Ho 3.39-3.72, 1 Er 3.41, 2 Th 3.63
Ho9 0.7333 0.3814 0.4404  7 Ho 3.39-3.72, 1 Er 3.41, 2 Th 3.63
Ho10 0.7882 0.0194 0.8883  4 Ho 3.19-3.50, 3 Er 3.30-3.42, 2 Y 3.42-3.45
Ho11 0.9335 0.4869 0.8165  3 Ho 3.19-3.55, 1 Er 3.38, 1 Th 3.43, 1 Y 3.44
Ho12 0.9806 0.2118 0.6117  4 Ho 3.19-3.50, 3 Er 3.30-3.42, 2 Y 3.42-3.45
Er1 0.1948 0.2982 0.9460  6 Ho 3.30-3.57, 2 Th 3.34-3.51, 1 Y 3.48
Er2 0.2982 0.1948 0.4460  6 Ho 3.30-3.57, 2 Th 3.34-3.51, 1 Y 3.48
Er3 0.7018 0.8052 0.5540  6 Ho 3.30-3.57, 2 Th 3.34-3.51, 1 Y 3.48
Er4 0.8052 0.7018 0.0540  6 Ho 3.30-3.57, 2 Th 3.34-3.51, 1 Y 3.48
Th1 0.4648 0.5352 0.2500  4 Er 3.34-3.51, 6 Ho 3.43-3.63
Th2 0.5352 0.4648 0.7500  4 Er 3.34-3.51, 6 Ho 3.43-3.63

Summary:
ρ, kg/m³: 8607
Energy relative to the elements, eV per formula unit: 1.49
SG: C2/c
Volume, Å³ per atom: 31.736



(4)
The following is a DFT calculation (PBE) of a relaxed structure of MgCd4Hg.

Unit cell a=5.8575 b=5.8575 c=5.8575 alpha=60.00 beta=60.00 gamma=60.00
Last column: nearest neighbours and their distance in Å.
Element x y z (fractional)
Mg1 0.0000 0.0000 0.0000  12 Cd 3.43, 4 Hg 3.59
Cd1 0.1241 0.6253 0.6253  6 Cd 2.92-2.94
Cd2 0.6253 0.1241 0.6253  6 Cd 2.92-2.94
Cd3 0.6253 0.6253 0.1241  6 Cd 2.92-2.94
Cd4 0.6253 0.6253 0.6253  6 Cd 2.92-2.94
Hg1 0.2500 0.2500 0.2500  12 Cd 3.44, 4 Mg 3.59

Summary:
Energy above the most stable polymorph in this dataset, eV per atom: 0.080
ρ, kg/m³: 7882
Energy relative to the elements, eV per formula unit: 0.26
SG: F-43m
Volume, Å³ per atom: 23.684



(5)
The following is a DFT calculation (PBE) of a relaxed structure of TlAg5Pd4.

Unit cell a=8.3824 b=9.6291 c=4.8915 alpha=90.00 beta=90.00 gamma=90.00
Last column: nearest neighbours and their distance in Å.
Element x y z (fractional)
Tl1 0.2500 0.2500 0.1096  4 Pd 2.69-2.84
Tl2 0.7500 0.7500 0.8904  4 Pd 2.69-2.84
Ag1 0.0818 0.5006 0.7455  4 Ag 2.77-2.89, 5 Pd 2.79-2.90
Ag2 0.0818 0.9994 0.7455  4 Ag 2.77-2.89, 5 Pd 2.79-2.90
Ag3 0.2500 0.7500 0.5864  6 Pd 2.77-2.90, 4 Ag 2.89
Ag4 0.4182 0.5006 0.7455  4 Ag 2.77-2.89, 5 Pd 2.79-2.90
Ag5 0.4182 0.9994 0.7455  4 Ag 2.77-2.89, 5 Pd 2.79-2.90
Ag6 0.5818 0.0006 0.2545  4 Ag 2.77-2.89, 5 Pd 2.79-2.90
Ag7 0.5818 0.4994 0.2545  4 Ag 2.77-2.89, 5 Pd 2.79-2.90
Ag8 0.7500 0.2500 0.4136  6 Pd 2.77-2.90, 4 Ag 2.89
Ag9 0.9182 0.0006 0.2545  4 Ag 2.77-2.89, 5 Pd 2.79-2.90
Ag10 0.9182 0.4994 0.2545  4 Ag 2.77-2.89, 5 Pd 2.79-2.90
Pd1 0.0706 0.7500 0.0786  3 Pd 2.78-3.01, 6 Ag 2.84-2.90, 1 Tl 2.84
Pd2 0.2500 0.5212 0.2414  1 Tl 2.69, 7 Ag 2.77-2.85, 2 Pd 2.78
Pd3 0.2500 0.9788 0.2414  1 Tl 2.69, 7 Ag 2.77-2.85, 2 Pd 2.78
Pd4 0.4294 0.7500 0.0786  3 Pd 2.78-3.01, 6 Ag 2.84-2.90, 1 Tl 2.84
Pd5 0.5706 0.2500 0.9214  3 Pd 2.78-3.01, 6 Ag 2.84-2.90, 1 Tl 2.84
Pd6 0.7500 0.0213 0.7586  1 Tl 2.69, 7 Ag 2.77-2.85, 2 Pd 2.78
Pd7 0.7500 0.4788 0.7586  1 Tl 2.69, 7 Ag 2.77-2.85, 2 Pd 2.78
Pd8 0.9294 0.2500 0.9214  3 Pd 2.78-3.01, 6 Ag 2.84-2.90, 1 Tl 2.84

Summary:
Energy above the most stable polymorph in this dataset, eV per atom: 0.051
ρ, kg/m³: 9837
Energy relative to the elements, eV per formula unit: 0.63
SG: Pmmn
Volume, Å³ per atom: 19.741



(6)
The following is a DFT calculation (PBE) of a relaxed structure of Mn2TcP.

Unit cell a=2.7727 b=4.1076 c=8.1918 alpha=90.00 beta=90.00 gamma=90.00
Last column: nearest neighbours and their distance in Å.
Element x y z (fractional)
Mn1 0.0000 0.0000 0.2231  2 P 2.29, 4 Mn 2.52
Mn2 0.0000 0.0000 0.7769  2 P 2.29, 4 Mn 2.52
Mn3 0.5000 0.5000 0.2769  2 P 2.29, 4 Mn 2.52
Mn4 0.5000 0.5000 0.7231  2 P 2.29, 4 Mn 2.52
Tc1 0.0000 0.5000 0.0000  4 P 2.48, 8 Mn 2.66-2.75, 2 Tc 2.77
Tc2 0.5000 0.0000 0.5000  4 P 2.48, 8 Mn 2.66-2.75, 2 Tc 2.77
P1 0.0000 0.5000 0.5000  4 Mn 2.29, 4 Tc 2.48
P2 0.5000 0.0000 0.0000  4 Mn 2.29, 4 Tc 2.48

Summary:
Energy above the most stable polymorph in this dataset, eV per atom: 0.013
ρ, kg/m³: 8502
Energy relative to the elements, eV per formula unit: -0.97
SG: Immm
Volume, Å³ per atom: 11.662



(7)
The following is a DFT calculation (PBE) of a relaxed structure of Sr2ZrNi.

Unit cell a=4.2915 b=4.2915 c=26.2487 alpha=90.00 beta=90.00 gamma=120.00
Last column: nearest neighbours and their distance in Å.
Element x y z (fractional)
Sr1 0.0000 0.0000 0.0000  3 Ni 3.30, 3 Zr 3.53
Sr2 0.0000 0.0000 0.1892  3 Zr 3.49, 3 Ni 3.73
Sr3 0.3333 0.6667 0.6667  3 Ni 3.30, 3 Zr 3.53
Sr4 0.3333 0.6667 0.8559  3 Zr 3.49, 3 Ni 3.73
Sr5 0.6667 0.3333 0.3333  3 Ni 3.30, 3 Zr 3.53
Sr6 0.6667 0.3333 0.5226  3 Zr 3.49, 3 Ni 3.73
Zr1 0.0000 0.0000 0.4291  3 Ni 2.50
Zr2 0.3333 0.6667 0.0958  3 Ni 2.50
Zr3 0.6667 0.3333 0.7624  3 Ni 2.50
Ni1 0.0000 0.0000 0.7499  3 Zr 2.50
Ni2 0.3333 0.6667 0.4165  3 Zr 2.50
Ni3 0.6667 0.3333 0.0832  3 Zr 2.50

Summary:
Energy above the most stable polymorph in this dataset, eV per atom: 0.023
ρ, kg/m³: 3869
Energy relative to the elements, eV per formula unit: 0.47
SG: R3m
Volume, Å³ per atom: 34.888



(8)
The following is a DFT calculation (PBE) of a relaxed structure of CdAs3.

Unit cell a=3.5450 b=5.4485 c=4.7600 alpha=90.00 beta=90.00 gamma=90.00
Last column: nearest neighbours and their distance in Å.
Element x y z (fractional)
Cd1 0.0000 0.0000 0.0000  6 As 2.79-3.09
As1 0.0000 0.5000 0.1223  2 As 2.47
As2 0.5000 0.0000 0.5318  2 As 2.73, 2 Cd 2.85
As3 0.5000 0.5000 0.4829  4 As 2.47-2.73

Summary:
Energy above the most stable polymorph in this dataset, eV per atom: 0.065
ρ, kg/m³: 6090
Energy relative to the elements, eV per formula unit: 0.15
SG: Pmm2
Volume, Å³ per atom: 22.985



(9)
The following is a DFT calculation (PBE) of a relaxed structure of PuSc4Ag5.

Unit cell a=3.4101 b=3.4101 c=18.0540 alpha=90.00 beta=90.00 gamma=90.00
Last column: nearest neighbours and their distance in Å.
Element x y z (fractional)
Pu1 0.0000 0.0000 0.0000  8 Ag 3.25, 4 Pu 3.41
Sc1 0.0000 0.0000 0.2112  8 Ag 2.91-2.97
Sc2 0.0000 0.0000 0.4039  8 Ag 2.97
Sc3 0.0000 0.0000 0.5961  8 Ag 2.97
Sc4 0.0000 0.0000 0.7888  8 Ag 2.91-2.97
Ag1 0.5000 0.5000 0.1206  4 Sc 2.91, 4 Pu 3.25
Ag2 0.5000 0.5000 0.3075  8 Sc 2.97
Ag3 0.5000 0.5000 0.5000  8 Sc 2.97
Ag4 0.5000 0.5000 0.6925  8 Sc 2.97
Ag5 0.5000 0.5000 0.8794  4 Sc 2.91, 4 Pu 3.25

Summary:
ρ, kg/m³: 7618
Energy relative to the elements, eV per formula unit: -2.03
SG: P4/mmm
Volume, Å³ per atom: 20.994



(10)
The following is a DFT calculation (PBE) of a relaxed structure of Rb2LiTh2Te6.

Unit cell a=7.8071 b=7.8071 c=9.1759 alpha=98.01 beta=98.01 gamma=119.79
Last column: nearest neighbours and their distance in Å.
Element x y z (fractional)
Rb1 0.1660 0.8340 0.0000  6 Te 3.72-3.73
Rb2 0.8340 0.1660 0.0000  6 Te 3.72-3.73
Li1 0.0000 0.0000 0.5000  6 Te 3.14-3.18
Th1 0.3320 0.6680 0.5000  6 Te 3.13-3.14
Th2 0.6680 0.3320 0.5000  6 Te 3.13-3.14
Te1 0.0684 0.4007 0.6991  2 Th 3.13-3.14, 1 Li 3.14
Te2 0.2728 0.2728 0.3005  2 Th 3.14, 1 Li 3.18
Te3 0.4007 0.0684 0.6991  2 Th 3.13-3.14, 1 Li 3.14
Te4 0.5993 0.9316 0.3009  2 Th 3.13-3.14, 1 Li 3.14
Te5 0.7272 0.7272 0.6995  2 Th 3.14, 1 Li 3.18
Te6 0.9316 0.5993 0.3009  2 Th 3.13-3.14, 1 Li 3.14

Summary:
ρ, kg/m³: 5013
ΔE_f (raw), eV/atom: -1.0601
SG: C2/m
Volume, Å³ per atom: 42.388